PBE-GGA KAuI2Br, optimized geometry; space group = P4/mmm, No. 123; ΔE_f (raw) = -0.637 eV per atom
1.0
5.7373 0.0000 0.0000
0.0000 5.7373 0.0000
0.0000 0.0000 5.5070
I K Au Br
2 1 1 1
Cartesian
0.0000 2.8686 0.0000 I
2.8686 0.0000 0.0000 I
2.8686 2.8686 2.7535 K
0.0000 0.0000 0.0000 Au
0.0000 0.0000 2.7535 Br

PBE-GGA KBeCl2, optimized geometry; space group = Pmmm, No. 47; ΔE_f (raw) = -0.457 eV per atom; distance to the lowest polymorph of the same formula = 0.527 eV/atom
1.0
4.9182 0.0000 0.0000
0.0000 5.1793 0.0000
0.0000 0.0000 3.5524
Be K Cl
1 1 2
Cartesian
0.0000 2.5896 1.7762 Be
2.4591 0.0000 1.7762 K
0.0000 0.0000 0.0000 Cl
2.4591 2.5896 0.0000 Cl

PBE-GGA Er3B, optimized geometry; space group = Imm2, No. 44; formation energy = 0.089 eV per atom
1.0
-2.2315 -0.2247 -2.7201
1.8414 -5.2678 -1.0756
-3.3387 0.8877 4.9503
B Er
1 3
Cartesian
0.0578 -0.1655 -0.0338 B
-1.5700 -3.2682 1.5579 Er
-0.4677 -1.9663 -1.7386 Er
-2.5578 -0.1951 -0.1702 Er

PBE-GGA NaCd2SnHg2, optimized geometry; space group = Pmc2_1, No. 26; formation energy = -0.064 eV per atom
1.0
-2.6889 -0.6459 -3.5242
-1.6503 -6.9843 2.5393
-6.9670 3.3553 4.7008
Na Cd Sn Hg
2 4 2 4
Cartesian
-4.4711 -5.2545 4.3745 Na
-4.8140 -1.1999 3.8929 Na
-2.0766 -0.4900 -1.1728 Cd
-2.1037 -1.8356 1.9415 Cd
-8.6250 -1.2258 3.9584 Cd
-6.8973 -3.4165 5.8887 Cd
-6.5689 1.1040 1.9626 Sn
-4.3743 -3.8425 1.1948 Sn
-6.7852 1.0610 4.9825 Hg
-4.5086 -0.6399 0.7102 Hg
-1.9434 -5.1603 2.4286 Hg
-6.7535 -3.4482 2.9378 Hg

PBE-GGA LaBe2Al2, optimized geometry; space group = P4/mbm, No. 127; formation energy = 0.138 eV per atom; distance to the lowest polymorph of the same formula = 0.341 eV/atom
1.0
-0.6713 -7.6791 0.5133
1.4460 -0.6319 -7.5626
2.7742 -0.2059 0.5476
Be Al La
4 4 2
Cartesian
1.0097 -3.3918 -6.3902 Be
0.3267 -7.0796 -4.3171 Be
-0.2350 -4.9192 -0.6591 Be
0.4480 -1.2314 -2.7322 Be
2.2273 -1.6761 -4.5738 Al
2.1772 -5.6404 -5.8105 Al
1.3216 -6.8408 -1.9279 Al
1.3717 -2.8765 -0.6911 Al
0.0000 0.0000 0.0000 La
0.3873 -4.1555 -3.5247 La

PBE-GGA BaPPb2, optimized geometry; space group = P4mm, No. 99; formation energy = -0.245 eV per atom
1.0
-3.5678 -1.4979 -1.6624
2.0322 -3.4783 -1.2275
-1.5783 -3.1049 6.1849
Ba P Pb
1 1 2
Cartesian
-0.8247 -1.6223 3.2317 Ba
-2.0337 -4.9784 3.5157 P
-1.5499 -3.0490 6.0735 Pb
-1.0731 -3.0886 -0.2487 Pb

PBE-GGA SrIrAu2, optimized geometry; space group = P4mm, No. 99; formation energy = 0.063 eV per atom; distance to the lowest polymorph of the same formula = 0.264 eV/atom
1.0
-2.8816 1.7137 1.5537
1.0392 -1.2584 3.3153
3.6390 5.3217 0.8794
Au Ir Sr
2 1 1
Cartesian
0.0560 0.0819 0.0135 Au
0.1823 1.8414 2.7012 Au
1.5545 2.2733 0.3757 Ir
1.8232 4.2412 3.0978 Sr

PBE-GGA Lu3Cr5N12, optimized geometry; space group = Ia-3d, No. 230; ΔE_f (raw) = -0.655 eV per atom
1.0
-6.1679 7.2112 4.5052
1.9240 -7.7316 6.8456
9.0635 4.4559 -2.8877
Lu Cr N
12 20 48
Cartesian
-2.7715 3.0661 5.5850 Lu
-2.8209 1.0681 8.7153 Lu
4.7948 -0.3096 5.0188 Lu
2.0974 2.5073 0.8991 Lu
-2.8905 6.4573 4.0758 Lu
1.1554 -1.0141 5.2460 Lu
3.6642 4.9496 3.2171 Lu
7.7102 -2.5218 4.3873 Lu
2.7223 1.4282 7.5640 Lu
0.0249 4.2451 3.4442 Lu
7.6406 2.8674 -0.2522 Lu
7.5911 0.8695 2.8780 Lu
2.2164 -0.8840 2.4083 Cr
0.9620 -3.8658 3.4228 Cr
0.0000 0.0000 0.0000 Cr
-0.6990 1.3283 3.0399 Cr
1.4478 5.8335 0.8087 Cr
-2.1219 -0.2602 5.6754 Cr
4.0709 -3.2263 4.6145 Cr
3.5452 8.3408 1.7078 Cr
-0.0246 2.2471 6.5745 Cr
4.7252 5.0797 0.3793 Cr
0.0945 -1.1441 8.0837 Cr
2.4098 1.9678 4.2315 Cr
-3.0839 3.6056 2.2526 Cr
4.5318 2.2279 -1.4439 Cr
4.8443 1.6884 1.8886 Cr
1.2745 -4.4053 6.7552 Cr
5.4938 -1.6379 1.9789 Cr
0.7488 7.1618 3.8486 Cr
5.5187 2.6072 5.4232 Cr
2.6033 4.8195 6.0548 Cr
-3.9562 4.2414 3.9023 N
2.6878 0.0653 3.7956 N
-2.6213 5.4476 6.2029 N
-1.7529 2.6795 3.3739 N
3.9431 1.8565 5.4658 N
-3.2364 3.2876 7.9956 N
3.3435 -2.0589 5.6897 N
2.1933 -5.8382 6.3670 N
4.4085 -0.2334 7.4522 N
-1.5214 1.3510 6.6399 N
-0.5072 3.7335 5.7961 N
-3.1429 -1.0179 9.7929 N
5.3199 -2.2918 3.8306 N
-0.8188 0.0571 4.2305 N
4.6886 -4.6310 5.4471 N
3.0974 4.7602 0.9237 N
1.6508 0.0894 1.0739 N
-0.7687 -1.3699 6.5831 N
-0.5634 0.1418 9.0643 N
0.9804 -1.9270 3.0660 N
6.7559 -1.2722 6.1605 N
1.2400 1.4044 5.7150 N
0.6904 2.4997 8.1471 N
3.9626 7.3943 3.1142 N
3.5797 2.5311 2.7481 N
4.1293 1.4358 0.3160 N
0.8571 -3.4587 5.3489 N
5.3831 3.7937 -0.6012 N
-1.9362 5.2077 2.3026 N
3.8392 5.8625 5.3971 N
5.5884 5.3054 1.8800 N
1.7223 -0.8246 7.5394 N
3.1688 3.8461 7.3892 N
0.1311 8.5665 3.0160 N
-0.5003 6.2273 4.6324 N
7.9626 4.9535 -1.3299 N
5.6385 3.8785 4.2326 N
0.4111 4.1689 1.0109 N
6.3411 2.5845 1.8232 N
5.3269 0.2021 2.6670 N
2.6263 9.7737 2.0961 N
1.4762 5.9945 2.7734 N
6.5726 1.2560 5.0892 N
8.0561 0.6479 0.4675 N
0.8766 2.0791 2.9973 N
7.4410 -1.5121 2.2601 N
2.1319 3.8702 4.6674 N
8.7759 -0.3059 4.5608 N

PBE-GGA Zn4Se, optimized geometry; space group = I4/m, No. 87; ΔE_f (raw) = 0.130 eV per atom; distance to the lowest polymorph of the same formula = 0.000 eV/atom
1.0
2.8001 -3.3031 2.5567
-4.4561 -0.3916 -2.2975
2.9453 0.6249 -4.0278
Zn Se
4 1
Cartesian
1.1104 -2.7057 0.2777 Zn
2.0373 -1.0382 -1.7826 Zn
0.1789 -0.3641 -4.0462 Zn
-0.7480 -2.0316 -1.9860 Zn
0.0000 0.0000 0.0000 Se

PBE-GGA ZnBi3Pb, optimized geometry; space group = Pm-3m, No. 221; formation energy = 0.365 eV per atom; distance to the lowest polymorph of the same formula = 0.000 eV/atom
1.0
-3.3631 -0.4412 -4.2721
4.2870 -0.0171 -3.3730
0.2594 -5.4370 0.3573
Pb Zn Bi
1 1 3
Cartesian
0.5917 -2.9477 -3.6439 Pb
0.0000 0.0000 0.0000 Zn
2.1435 -0.0086 -1.6865 Bi
0.1297 -2.7185 0.1787 Bi
-1.6815 -0.2206 -2.1361 Bi